{"formula": "SrMnSbI2", "functional": "PBE", "state": "relaxed", "e_form_raw_ev_per_fu": -0.7, "space_group": "P4/mmm (123)", "mass_density_g_cm3": 5.52, "lattice_angstrom": [[-1.630, 2.274, -4.859], [-5.350, -1.067, 1.295], [-0.353, 4.429, 2.191]], "species": ["Sb", "Sr", "I", "I", "Mn"], "frac_coords": [[0.000, 0.000, 0.500], [0.500, 0.500, 0.500], [0.000, 0.500, 0.000], [0.500, 0.000, 0.000], [0.000, 0.000, 0.000]]}